# Tl3AgBr6 (PBE-GGA, relaxed)
# **Energy above the most stable polymorph in this dataset**: 0.000 eV/f.u.
# **Formation energy (no corrections)**: -0.6079 eV/atom
# **Crystal system**: monoclinic
data_Tl3AgBr6
_cell_length_a 7.526
_cell_length_b 7.997
_cell_length_c 13.258
_cell_angle_alpha 90.00
_cell_angle_beta 124.17
_cell_angle_gamma 90.00
_space_group_name_H-M_alt 'P 1 21/c 1'
_space_group_IT_number 14
loop_
_space_group_symop_operation_xyz
'x,y,z'
'-x,-y,-z'
'-x,y+1/2,-z+1/2'
'x,-y+1/2,z+1/2'
loop_
_atom_site_label
_atom_site_fract_x
_atom_site_fract_y
_atom_site_fract_z
Tl1 0.000 0.000 0.000
Tl2 0.278 0.083 0.750
Ag1 0.500 0.000 0.500
Br1 0.161 0.010 0.251
Br2 0.237 0.697 0.042
Br3 0.349 0.195 0.043